No. 1
The following is a DFT calculation (PBE) of ScNbTl after structural relaxation.

Output
Symmetry: No. 129
Magnetization (μB per atom): 0.0000
Formation energy from the elements (eV per atom): -0.076

Structure (POSCAR):
```
ScNbTl
1.0
-3.2182 -0.3997 2.4997
0.9206 -3.9511 0.5535
4.5450 1.9218 6.1585
Tl Sc Nb
2 2 2
direct
0.0000 0.5000 0.7808
0.5000 0.0000 0.2192
0.0000 0.5000 0.1650
0.5000 0.0000 0.8350
0.5000 0.5000 0.5000
0.0000 0.0000 0.5000
```

No. 2
The following is a DFT calculation (PBE) of Sc3NbTl after structural relaxation.

Output
Symmetry: No. 221
Magnetization (μB per atom): 0.8089
Polymorph energy (0 for the lowest one) (eV/atom): 0.481
Formation energy from the elements (eV per atom): 1.022

Structure (POSCAR):
```
Sc3NbTl
1.0
-0.7911 5.2270 -0.2892
-4.3990 -0.8223 -2.8290
-2.8379 -0.1824 4.4658
Sc Tl Nb
3 1 1
direct
0.0000 0.5000 0.0000
0.0000 0.0000 0.5000
0.5000 0.0000 0.0000
0.0000 0.0000 0.0000
0.5000 0.5000 0.5000
```

No. 3
The following is a DFT calculation (PBE) of ScNbTl3 after structural relaxation.

Output
Symmetry: No. 221
Magnetization (μB per atom): 0.0001
Polymorph energy (0 for the lowest one) (eV/atom): 0.000
Formation energy from the elements (eV per atom): 0.696

Structure (POSCAR):
```
ScNbTl3
1.0
5.3960 0.0000 0.0000
0.0000 5.3960 0.0000
0.0000 0.0000 5.3960
Sc Tl Nb
1 3 1
direct
0.5000 0.5000 0.5000
0.0000 0.5000 0.0000
0.0000 0.0000 0.5000
0.5000 0.0000 0.0000
0.0000 0.0000 0.0000
```

No. 4
The following is a DFT calculation (PBE) of Sc3NbTl after structural relaxation.

Output
Symmetry: No. 221
Magnetization (μB per atom): 0.0000
Polymorph energy (0 for the lowest one) (eV/atom): 0.000
Formation energy from the elements (eV per atom): 0.541

Structure (POSCAR):
```
Sc3NbTl
1.0
-1.2254 3.0077 3.9710
-3.6610 -3.3170 1.3826
3.3782 -2.5036 2.9387
Sc Tl Nb
3 1 1
direct
0.0000 0.5000 0.0000
0.0000 0.0000 0.5000
0.5000 0.0000 0.0000
0.5000 0.5000 0.5000
0.0000 0.0000 0.0000
```

No. 5
The following is a DFT calculation (PBE) of ScNb3Tl after structural relaxation.

Output
Symmetry: No. 221
Magnetization (μB per atom): 0.0000
Polymorph energy (0 for the lowest one) (eV/atom): 0.306
Formation energy from the elements (eV per atom): 1.775

Structure (POSCAR):
```
ScNb3Tl
1.0
5.1250 0.0000 0.0000
0.0000 5.1250 0.0000
0.0000 0.0000 5.1250
Sc Tl Nb
1 1 3
direct
0.5000 0.5000 0.5000
0.0000 0.0000 0.0000
0.0000 0.5000 0.0000
0.0000 0.0000 0.5000
0.5000 0.0000 0.0000
```

No. 6
The following is a DFT calculation (PBE) of ScNb3Tl after structural relaxation.

Output
Symmetry: No. 221
Magnetization (μB per atom): 0.0000
Polymorph energy (0 for the lowest one) (eV/atom): 0.000
Formation energy from the elements (eV per atom): 1.469

Structure (POSCAR):
```
ScNb3Tl
1.0
4.7977 0.0000 0.0000
0.0000 4.7977 0.0000
0.0000 0.0000 4.7977
Sc Tl Nb
1 1 3
direct
0.0000 0.0000 0.0000
0.5000 0.5000 0.5000
0.0000 0.5000 0.0000
0.0000 0.0000 0.5000
0.5000 0.0000 0.0000
```

No. 7
The following is a DFT calculation (PBE) of Tm2ScNb after structural relaxation.

Output
Symmetry: No. 166
Magnetization (μB per atom): 0.0000
Formation energy from the elements (eV per atom): 0.470

Structure (POSCAR):
```
Tm2ScNb
1.0
-0.5230 0.4102 3.1334
-2.9567 -0.3305 1.1870
0.7597 -10.8715 3.1873
Sc Nb Tm
1 1 2
direct
0.5000 0.5000 0.5000
0.0000 0.0000 0.0000
0.0863 0.0863 0.7410
0.9137 0.9137 0.2590
```

No. 8
The following is a DFT calculation (PBE) of TmScNb4 after structural relaxation.

Output
Symmetry: No. 216
Magnetization (μB per atom): 0.0002
Formation energy from the elements (eV per atom): 0.145

Structure (POSCAR):
```
TmScNb4
1.0
5.6459 0.0000 0.0000
2.8230 4.8895 0.0000
2.8230 1.6298 4.6099
Sc Nb Tm
1 4 1
direct
0.0000 0.0000 0.0000
0.6246 0.6246 0.1262
0.6246 0.1262 0.6246
0.6246 0.6246 0.6246
0.1262 0.6246 0.6246
0.2500 0.2500 0.2500
```

No. 9
The following is a DFT calculation (PBE) of ScUNb after structural relaxation.

Output
Symmetry: No. 59
Magnetization (μB per atom): 0.6719
Formation energy from the elements (eV per atom): 0.426

Structure (POSCAR):
```
ScUNb
1.0
5.2188 0.0000 0.0000
0.0000 2.8850 0.0000
0.0000 0.0000 8.5712
U Nb Sc
2 2 2
direct
0.5000 0.0000 0.7429
0.0000 0.5000 0.2571
0.0000 0.0000 0.5594
0.5000 0.5000 0.4406
0.5000 0.5000 0.0780
0.0000 0.0000 0.9220
```

No. 10
The following is a DFT calculation (PBE) of ScNb2V2 after structural relaxation.

Output
Symmetry: No. 139
Magnetization (μB per atom): 0.1423
Polymorph energy (0 for the lowest one) (eV/atom): 0.228
Formation energy from the elements (eV per atom): 0.435

Structure (POSCAR):
```
ScNb2V2
1.0
3.9794 0.0000 0.0000
0.0000 3.9794 0.0000
1.9897 1.9897 5.8470
Sc Nb V
1 2 2
direct
0.0000 0.0000 0.0000
0.7500 0.2500 0.5000
0.2500 0.7500 0.5000
0.4094 0.4094 0.1811
0.5906 0.5906 0.8189
```

No. 11
The following is a DFT calculation (PBE) of ScNb2V after structural relaxation.

Output
Symmetry: No. 122
Magnetization (μB per atom): 0.0001
Polymorph energy (0 for the lowest one) (eV/atom): 0.427
Formation energy from the elements (eV per atom): 0.562

Structure (POSCAR):
```
ScNb2V
1.0
7.2523 0.0000 0.0000
0.0000 7.2523 0.0000
3.6261 3.6261 2.8523
Sc Nb V
2 4 2
direct
0.5000 0.5000 0.0000
0.2500 0.7500 0.5000
0.6518 0.1250 0.2500
0.0982 0.6250 0.2500
0.3750 0.3482 0.7500
0.8750 0.9018 0.7500
0.0000 0.0000 0.0000
0.7500 0.2500 0.5000
```

No. 12
The following is a DFT calculation (PBE) of ScNbV4 after structural relaxation.

Output
Symmetry: No. 216
Magnetization (μB per atom): 0.0004
Formation energy from the elements (eV per atom): 0.113

Structure (POSCAR):
```
ScNbV4
1.0
-2.6391 -0.2465 4.3857
2.3853 -1.2536 4.3587
0.7293 3.5410 3.6317
Sc Nb V
1 1 4
direct
0.0000 0.0000 0.0000
0.2500 0.2500 0.2500
0.6252 0.6252 0.1245
0.6252 0.1245 0.6252
0.6252 0.6252 0.6252
0.1245 0.6252 0.6252
```